A plane-wave DFT calculation with GGA-PBEsol was carried out for HfSb after structural relaxation.

The structure in POSCAR format:
```
HfSb
1.0
5.5570 0.0000 0.0000
0.0000 5.5570 0.0000
0.0000 0.0000 5.5570
Hf Sb
4 4
Direct
0.1441 0.1441 0.1441
0.3559 0.8559 0.6441
0.6441 0.3559 0.8559
0.8559 0.6441 0.3559
0.1560 0.3440 0.6560
0.3440 0.6560 0.1560
0.6560 0.1560 0.3440
0.8440 0.8440 0.8440
```

As for the symmetry: P2_13. The value obtained for the raw formation energy is -0.62 eV per atom. As for the density: 11622 kg/m³.